# 1
Material: La2Sm2ErMg5
Method: DFT, PBE
State: relaxed

As for the calculated volume: 29.3 Å³ per atom. For the energy, the calculation gives -63.565 eV for the cell shown.

The structure belongs to space group P4/mbm (No. 127); the cell edges are 10.673, 10.673 and 5.140 Å and the angles 90.00°, 90.00° and 90.00°. Symmetry generates all atoms from La at (0.175, 0.325, 0.000), Sm at (0.123, 0.623, 0.000), Er at (0.000, 0.000, 0.000), Mg at (0.000, 0.500, 0.500) and Mg at (0.071, 0.805, 0.500).



# 2
Material: La6Sm2ErMg
Method: DFT, PBE
State: relaxed

As for the calculated volume: 34.6 Å³ per atom. For the energy, the calculation gives -176.981 eV for the cell shown.

The structure belongs to space group C2/c (No. 15); the cell edges are 10.660, 13.869 and 9.461 Å and the angles 90.00°, 98.21° and 90.00°. Symmetry generates all atoms from La at (0.057, 0.122, 0.100), La at (0.086, 0.334, 0.917), La at (0.245, 0.287, 0.326), Sm at (0.231, 0.467, 0.592), Er at (0.000, 0.431, 0.250) and Mg at (0.000, 0.095, 0.750).



# 3
Material: La4Sm2ErMg
Method: DFT, PBE
State: relaxed

As for the calculated volume: 33.7 Å³ per atom. For the energy, the calculation gives -35.288 eV for the cell shown.

The structure belongs to space group P4/mmm (No. 123); the cell edges are 5.162, 5.162 and 10.120 Å and the angles 90.00°, 90.00° and 90.00°. Symmetry generates all atoms from La at (0.000, 0.500, 0.247), Sm at (0.000, 0.000, 0.000), Sm at (0.500, 0.500, 0.500), Er at (0.000, 0.000, 0.500) and Mg at (0.500, 0.500, 0.000).



# 4
Material: La2Tb6Er3Mg
Method: DFT, PBE
State: relaxed

As for the calculated volume: 31.7 Å³ per atom. For the energy, the calculation gives -105.393 eV for the cell shown.

The structure belongs to space group C2/m (No. 12); the cell edges are 6.146, 10.658 and 11.796 Å and the angles 90.00°, 100.12° and 90.00°. Symmetry generates all atoms from La at (0.000, 0.167, 0.000), Tb at (0.247, 0.500, 0.745), Tb at (0.249, 0.335, 0.254), Er at (0.000, 0.000, 0.500), Er at (0.000, 0.334, 0.500) and Mg at (0.000, 0.500, 0.000).



# 5
Material: La2TbEr2Mg5
Method: DFT, PBE
State: relaxed

As for the calculated volume: 28.9 Å³ per atom. For the energy, the calculation gives -63.020 eV for the cell shown.

The structure belongs to space group P4/mbm (No. 127); the cell edges are 10.643, 10.643 and 5.104 Å and the angles 90.00°, 90.00° and 90.00°. Symmetry generates all atoms from La at (0.176, 0.324, 0.000), Tb at (0.000, 0.000, 0.000), Er at (0.120, 0.620, 0.000), Mg at (0.000, 0.500, 0.500) and Mg at (0.071, 0.801, 0.500).



# 6
Material: LaTb6Er2Mg
Method: DFT, PBE
State: relaxed

As for the calculated volume: 31.8 Å³ per atom. For the energy, the calculation gives -169.250 eV for the cell shown.

The structure belongs to space group C2/c (No. 15); the cell edges are 10.014, 13.687 and 9.475 Å and the angles 90.00°, 101.93° and 90.00°. Symmetry generates all atoms from La at (0.000, 0.064, 0.250), Tb at (0.053, 0.381, 0.095), Tb at (0.094, 0.172, 0.928), Tb at (0.250, 0.219, 0.330), Er at (0.237, 0.035, 0.593) and Mg at (0.000, 0.401, 0.750).



> Which of these has the highest calculated volume?

La6Sm2ErMg



> Which formula does entry 5 have?

La2TbEr2Mg5



> What is the energy in the second record?

-176.981 eV for the cell shown



> calculated volume of number 2 (La6Sm2ErMg)?

34.6 Å³ per atom